[1]
Ba4Si23 | PBEsol | relaxed

The structure in extended XYZ format:
```
54
Lattice="10.301 0.000 0.000 0.000 10.301 0.000 0.000 0.000 10.301" Properties=species:S:1:pos:R:3 pbc="T T T"
Ba 0.000 0.000 0.000
Ba 0.000 2.575 5.150
Ba 0.000 7.726 5.150
Ba 2.575 5.150 0.000
Ba 5.150 0.000 2.575
Ba 5.150 0.000 7.726
Ba 5.150 5.150 5.150
Ba 7.726 5.150 0.000
Si 0.000 3.162 1.235
Si 0.000 3.162 9.065
Si 0.000 5.150 2.575
Si 0.000 5.150 7.726
Si 0.000 7.139 1.235
Si 0.000 7.139 9.065
Si 1.235 0.000 3.162
Si 1.235 0.000 7.139
Si 1.906 1.906 1.906
Si 1.906 1.906 8.394
Si 1.906 8.394 1.906
Si 1.906 8.394 8.394
Si 1.988 5.150 3.915
Si 1.988 5.150 6.386
Si 2.575 0.000 5.150
Si 3.162 1.235 0.000
Si 3.162 9.065 0.000
Si 3.244 3.244 3.244
Si 3.244 3.244 7.057
Si 3.244 7.057 3.244
Si 3.244 7.057 7.057
Si 3.915 1.988 5.150
Si 3.915 8.313 5.150
Si 5.150 2.575 0.000
Si 5.150 3.915 1.988
Si 5.150 3.915 8.313
Si 5.150 6.386 1.988
Si 5.150 6.386 8.313
Si 5.150 7.726 0.000
Si 6.386 1.988 5.150
Si 6.386 8.313 5.150
Si 7.057 3.244 3.244
Si 7.057 3.244 7.057
Si 7.057 7.057 3.244
Si 7.057 7.057 7.057
Si 7.139 1.235 0.000
Si 7.139 9.065 0.000
Si 7.726 0.000 5.150
Si 8.313 5.150 3.915
Si 8.313 5.150 6.386
Si 8.394 1.906 1.906
Si 8.394 1.906 8.394
Si 8.394 8.394 1.906
Si 8.394 8.394 8.394
Si 9.065 0.000 3.162
Si 9.065 0.000 7.139
```

Values from the calculation:
SG: Pm-3n (223)
Formation energy without anion corrections, eV per atom: -0.169
Raw total energy, eV per atom: -5.383
Spin magnetization, μB per formula unit: 0.001

[2]
Be2CdIr | PBEsol | relaxed

The structure in extended XYZ format:
```
8
Lattice="2.935 0.000 0.000 0.000 3.911 0.000 0.000 0.000 8.696" Properties=species:S:1:pos:R:3 pbc="T T T"
Be 0.000 0.000 0.000
Be 0.000 1.955 2.069
Be 1.468 0.000 6.416
Be 1.468 1.955 4.348
Cd 0.000 1.955 6.653
Cd 1.468 0.000 2.305
Ir 0.000 0.000 4.645
Ir 1.468 1.955 0.297
```

Values from the calculation:
SG: Imm2 (44)
Raw total energy, eV per atom: -4.833
Spin magnetization, μB per formula unit: 0.000
Energy of formation from the pure elements, kJ/mol of atoms: -7.6

[3]
CsTe3Rh | PBEsol | relaxed

The structure in extended XYZ format:
```
5
Lattice="5.328 0.000 0.000 0.000 5.328 0.000 0.000 0.000 5.328" Properties=species:S:1:pos:R:3 pbc="T T T"
Cs 0.000 0.000 0.000
Te 0.000 2.664 2.664
Te 2.664 0.000 2.664
Te 2.664 2.664 0.000
Rh 2.664 2.664 2.664
```

Values from the calculation:
SG: Pm-3m (221)
Formation energy without anion corrections, eV per atom: -0.174
Raw total energy, eV per atom: -4.106
Spin magnetization, μB per formula unit: 0.001